The following is a DFT calculation (GGA-PBE) of a relaxed SrLa3MgAlO8 crystal.

a = 5.4359 Å, b = 6.8844 Å, c = 6.8844 Å
α = 46.74°, β = 90.00°, γ = 90.00°
Last column: nearest neighbours and their distance in Å.
Positions (direct):
Sr 0.0000 0.0000 0.0000  9 O 2.47-2.75
La 0.0000 0.2808 0.2808  5 O 2.41-2.59
La 0.5000 0.5046 0.5046  5 O 2.35-2.61
La 0.5000 0.7832 0.7832  5 O 2.33-2.59
Mg 0.5000 0.1380 0.1380  5 O 1.99-2.16
Al 0.0000 0.6455 0.6455  5 O 1.86-2.01
O 0.0000 0.4716 0.4716  1 Al 2.20, 1 La 2.41
O 0.0000 0.8046 0.8046  1 Al 2.01
O 0.2438 0.4057 0.8842  1 Al 1.86, 1 Mg 1.99
O 0.2438 0.8842 0.4057  1 Al 1.86, 1 Mg 1.99
O 0.5000 0.3190 0.3190  1 Mg 2.29, 1 La 2.35
O 0.5000 0.9674 0.9674  1 Mg 2.16, 1 La 2.33
O 0.7562 0.4057 0.8842  1 Al 1.86, 1 Mg 1.99
O 0.7562 0.8842 0.4057  1 Al 1.86, 1 Mg 1.99

Summary:
* E: -7.57 eV/atom
* SG: No. 38

=====

The following is a DFT calculation (GGA-PBE) of a relaxed Tm2Cd4Pb3 crystal.

a = 5.9897 Å, b = 5.9897 Å, c = 9.9703 Å
α = 110.54°, β = 110.54°, γ = 44.98°
Last column: nearest neighbours and their distance in Å.
Positions (direct):
Tm 0.1559 0.1559 0.2163  5 Pb 3.17-3.37, 7 Cd 3.30-3.40
Tm 0.8441 0.8441 0.7837  5 Pb 3.17-3.37, 7 Cd 3.30-3.40
Cd 0.1741 0.1741 0.8934  4 Cd 3.14-3.18, 4 Tm 3.30-3.40, 4 Pb 3.30-3.41
Cd 0.4849 0.4849 0.3227  3 Cd 3.18-3.42, 5 Pb 3.28-3.35, 3 Tm 3.38-3.39
Cd 0.5151 0.5151 0.6773  3 Cd 3.18-3.42, 5 Pb 3.28-3.35, 3 Tm 3.38-3.39
Cd 0.8259 0.8259 0.1066  4 Cd 3.14-3.18, 4 Tm 3.30-3.40, 4 Pb 3.30-3.41
Pb 0.1661 0.1661 0.5587  3 Tm 3.29-3.37, 6 Cd 3.30-3.59, 3 Pb 3.41-3.42
Pb 0.5000 0.5000 0.0000  4 Tm 3.17, 8 Cd 3.28-3.41
Pb 0.8339 0.8339 0.4413  3 Tm 3.29-3.37, 6 Cd 3.30-3.59, 3 Pb 3.41-3.42

Summary:
* formation energy from the elements: -0.170 eV per atom
* SG: No. 12

=====

The following is a DFT calculation (GGA-PBE) of a relaxed TmCd12 crystal.

a = 7.6227 Å, b = 7.6227 Å, c = 7.6227 Å
α = 98.94°, β = 98.94°, γ = 133.57°
Last column: nearest neighbours and their distance in Å.
Positions (direct):
Tm 0.0000 0.0000 0.0000  20 Cd 3.46-3.81
Cd 0.0000 0.0000 0.5000  10 Cd 2.92-3.06
Cd 0.0000 0.3490 0.3490  9 Cd 2.99-3.30
Cd 0.0000 0.5000 0.0000  10 Cd 2.92-3.06
Cd 0.0000 0.6510 0.6510  9 Cd 2.99-3.30
Cd 0.2879 0.5000 0.7879  8 Cd 2.92-3.22
Cd 0.3490 0.0000 0.3490  9 Cd 2.99-3.30
Cd 0.5000 0.0000 0.0000  10 Cd 2.92-3.06
Cd 0.5000 0.2879 0.7879  8 Cd 2.92-3.22
Cd 0.5000 0.5000 0.5000  10 Cd 2.92-3.06
Cd 0.5000 0.7121 0.2121  8 Cd 2.92-3.22
Cd 0.6510 0.0000 0.6510  9 Cd 2.99-3.30
Cd 0.7121 0.5000 0.2121  8 Cd 2.92-3.22

Summary:
* formation energy from the elements: -0.045 eV per atom
* SG: No. 139

=====

The following is a DFT calculation (GGA-PBE) of a relaxed MgScGeIr crystal.

a = 4.5839 Å, b = 4.5839 Å, c = 4.5839 Å
α = 60.00°, β = 60.00°, γ = 60.00°
Last column: nearest neighbours and their distance in Å.
Positions (direct):
Mg 0.0000 0.0000 0.0000  4 Ge 2.81, 4 Ir 2.81
Sc 0.5000 0.5000 0.5000  4 Ir 2.81, 4 Ge 2.81
Ge 0.2500 0.2500 0.2500  4 Sc 2.81, 4 Mg 2.81
Ir 0.7500 0.7500 0.7500  4 Mg 2.81, 4 Sc 2.81

Summary:
* formation energy from the elements: -0.533 eV per atom
* SG: No. 216

=====

no.,V (Å³/cell)
1,188
2,234
3,295
4,68